(1)
The following is a DFT calculation (PBE) of an optimized crystal structure of Ce2NiMo.

The calculation puts the energy relative to the elements at 0.393 eV/atom. Its uncorrected energy is -6.727 eV per atom.

The structure belongs to space group R-3m (No. 166, hexagonal axes); the cell edges are 2.8954, 2.8954 and 31.5062 Å and the angles 90.00°, 90.00° and 120.00°. The inequivalent atoms are Ce at (0.0000, 0.0000, 0.0797), Ni at (0.0000, 0.0000, 0.0000) and Mo at (0.0000, 0.0000, 0.5000).


(2)
The following is a DFT calculation (PBE) of an optimized crystal structure of CeNiMoP2.

The calculation puts the energy relative to the elements at -0.831 eV/atom. Its uncorrected energy is -7.504 eV per atom.

The structure belongs to space group I-4m2 (No. 119); the cell edges are 3.906, 3.906 and 11.076 Å and the angles 90.00°, 90.00° and 90.00°. The inequivalent atoms are Ce at (0.000, 0.000, 0.000), Ni at (0.000, 0.500, 0.750), Mo at (0.000, 0.500, 0.250) and P at (0.000, 0.000, 0.367).